Record 1
# ZnPbBr, optimized geometry, DFT GGA-PBE
data_ZnPbBr
_cell_length_a 15.401
_cell_length_b 3.620
_cell_length_c 3.620
_cell_angle_alpha 60.08
_cell_angle_beta 90.00
_cell_angle_gamma 90.00
_space_group_name_H-M_alt 'P 1'
_space_group_IT_number 1
loop_
_space_group_symop_operation_xyz
'x,y,z'
loop_
_atom_site_label
_atom_site_type_symbol
_atom_site_fract_x
_atom_site_fract_y
_atom_site_fract_z
_atom_site_occupancy
Zn1 Zn 0.000 0.000 0.000 1
Zn2 Zn 0.500 0.223 0.223 1
Pb1 Pb 0.363 0.889 0.889 1
Pb2 Pb 0.637 0.889 0.889 1
Br1 Br 0.108 0.334 0.334 1
Br2 Br 0.892 0.334 0.334 1
# - Energy above the most stable polymorph in this dataset: 0.00 kcal/mol of atoms
# - Uncorrected energy: -2.425 eV/atom
# - Raw formation energy: -0.6 eV/f.u.
# - Density of states at the Fermi level: 1.7 states/eV/cell



Record 2
# NaSm2TmS4, optimized geometry, DFT GGA-PBE
data_NaSm2TmS4
_cell_length_a 6.873
_cell_length_b 3.950
_cell_length_c 6.883
_cell_angle_alpha 90.00
_cell_angle_beta 109.11
_cell_angle_gamma 90.00
_space_group_name_H-M_alt 'P 1'
_space_group_IT_number 1
loop_
_space_group_symop_operation_xyz
'x,y,z'
loop_
_atom_site_label
_atom_site_type_symbol
_atom_site_fract_x
_atom_site_fract_y
_atom_site_fract_z
_atom_site_occupancy
Na1 Na 0.000 0.000 0.000 1
Sm1 Sm 0.000 0.500 0.500 1
Sm2 Sm 0.500 0.000 0.500 1
Tm1 Tm 0.500 0.500 0.000 1
S1 S 0.256 0.500 0.245 1
S2 S 0.258 0.000 0.762 1
S3 S 0.742 0.000 0.238 1
S4 S 0.744 0.500 0.755 1
# - Uncorrected energy: -5.869 eV/atom
# - Raw formation energy: -15.2 eV/f.u.
# - Density of states at the Fermi level: 2.6 states/eV/cell



Record 3
# HgAsBr, optimized geometry, DFT GGA-PBE
data_HgAsBr
_cell_length_a 3.771
_cell_length_b 6.875
_cell_length_c 7.937
_cell_angle_alpha 76.59
_cell_angle_beta 89.79
_cell_angle_gamma 89.76
_space_group_name_H-M_alt 'P 1'
_space_group_IT_number 1
loop_
_space_group_symop_operation_xyz
'x,y,z'
loop_
_atom_site_label
_atom_site_type_symbol
_atom_site_fract_x
_atom_site_fract_y
_atom_site_fract_z
_atom_site_occupancy
Hg1 Hg 0.246 0.292 0.342 1
Hg2 Hg 0.754 0.708 0.658 1
As1 As 0.251 0.374 0.010 1
As2 As 0.749 0.626 0.990 1
Br1 Br 0.252 0.780 0.392 1
Br2 Br 0.748 0.220 0.608 1
# - Energy above the most stable polymorph in this dataset: 0.00 kcal/mol of atoms
# - Uncorrected energy: -2.439 eV/atom
# - Raw formation energy: -0.7 eV/f.u.



Record 4
# LuCdCuAg, optimized geometry, DFT GGA-PBE
data_LuCdCuAg
_cell_length_a 4.778
_cell_length_b 4.778
_cell_length_c 4.778
_cell_angle_alpha 60.00
_cell_angle_beta 60.00
_cell_angle_gamma 60.00
_space_group_name_H-M_alt 'P 1'
_space_group_IT_number 1
loop_
_space_group_symop_operation_xyz
'x,y,z'
loop_
_atom_site_label
_atom_site_type_symbol
_atom_site_fract_x
_atom_site_fract_y
_atom_site_fract_z
_atom_site_occupancy
Lu1 Lu 0.000 0.000 0.000 1
Cd1 Cd 0.500 0.500 0.500 1
Cu1 Cu 0.250 0.250 0.250 1
Ag1 Ag 0.750 0.750 0.750 1
# - Calculated formation energy: -0.204 eV/atom
# - Uncorrected energy: -3.300 eV/atom
# - Density of states at the Fermi level: 3.2 states/eV/cell